{"formula": "Tb2Sm7Dy", "functional": "PBE-GGA", "state": "optimized geometry", "lattice_angstrom": [[-0.573, -5.541, 1.257], [-0.389, 4.061, -8.139], [8.483, -2.700, 4.879]], "species": ["Sm", "Sm", "Sm", "Sm", "Sm", "Sm", "Sm", "Tb", "Tb", "Dy"], "fractional_positions": [[0.204, 0.607, 0.806], [0.698, 0.099, 0.802], [0.500, 0.500, 0.000], [0.796, 0.393, 0.194], [0.302, 0.901, 0.198], [0.858, 0.070, 0.423], [0.142, 0.930, 0.577], [0.353, 0.563, 0.420], [0.647, 0.437, 0.580], [0.000, 0.000, 0.000]], "polymorph_energy_mev_per_atom": 0.0, "dos_at_fermi_per_ev_fu": 14.8, "formation_enthalpy_0k_ev_per_fu": 0.43, "sg": "P-1, No. 2", "mass_density_kg_m3": 7684, "m_tot_mub_per_cell": 0.00}

{"formula": "Tb2SmDy8", "functional": "PBE-GGA", "state": "optimized geometry", "lattice_angstrom": [[-2.157, -0.912, 4.439], [2.459, -7.552, -0.356], [7.748, 4.946, 1.945]], "species": ["Dy", "Dy", "Dy", "Dy", "Dy", "Dy", "Dy", "Dy", "Tb", "Tb", "Sm"], "fractional_positions": [[0.863, 0.818, 0.726], [0.409, 0.544, 0.818], [0.137, 0.182, 0.274], [0.045, 0.727, 0.091], [0.591, 0.456, 0.182], [0.318, 0.091, 0.636], [0.682, 0.909, 0.364], [0.955, 0.273, 0.909], [0.772, 0.363, 0.545], [0.228, 0.637, 0.455], [0.500, 0.000, 0.000]], "polymorph_energy_mev_per_atom": 0.0, "dos_at_fermi_per_ev_fu": 14.6, "formation_enthalpy_0k_ev_per_fu": 0.19, "sg": "C2/m, No. 12", "mass_density_kg_m3": 8426, "m_tot_mub_per_cell": 0.00}

{"formula": "Tb3Sm4Dy4", "functional": "PBE-GGA", "state": "optimized geometry", "lattice_angstrom": [[-2.901, -2.114, -0.123], [5.313, -7.419, 2.247], [-3.032, 6.657, 9.499]], "species": ["Sm", "Sm", "Sm", "Sm", "Tb", "Tb", "Tb", "Dy", "Dy", "Dy", "Dy"], "fractional_positions": [[0.645, 0.466, 0.289], [0.645, 0.823, 0.289], [0.355, 0.177, 0.711], [0.355, 0.534, 0.711], [0.108, 0.108, 0.216], [0.000, 0.500, 0.000], [0.892, 0.892, 0.784], [0.741, 0.241, 0.481], [0.500, 0.817, 0.000], [0.500, 0.183, 0.000], [0.259, 0.759, 0.519]], "polymorph_energy_mev_per_atom": 67.5, "dos_at_fermi_per_ev_fu": 16.8, "formation_enthalpy_0k_ev_per_fu": 1.39, "sg": "Immm, No. 71", "mass_density_kg_m3": 7812, "m_tot_mub_per_cell": 0.00}

{"formula": "Tb8Sm4Dy3", "functional": "PBE-GGA", "state": "optimized geometry", "lattice_angstrom": [[-1.033, 1.411, 6.549], [-2.192, -8.805, -1.968], [8.840, -2.330, -1.624]], "species": ["Dy", "Dy", "Dy", "Tb", "Tb", "Tb", "Tb", "Tb", "Tb", "Tb", "Tb", "Sm", "Sm", "Sm", "Sm"], "fractional_positions": [[0.500, 0.000, 0.500], [0.500, 0.500, 0.500], [0.500, 0.500, 0.000], [0.520, 0.266, 0.266], [0.000, 0.641, 0.359], [0.998, 0.730, 0.730], [0.002, 0.270, 0.270], [0.000, 0.359, 0.641], [0.480, 0.734, 0.734], [0.500, 0.255, 0.745], [0.500, 0.745, 0.255], [0.000, 0.500, 0.000], [0.000, 0.000, 0.000], [0.500, 0.000, 0.000], [0.000, 0.000, 0.500]], "polymorph_energy_mev_per_atom": 245.8, "dos_at_fermi_per_ev_fu": 29.4, "formation_enthalpy_0k_ev_per_fu": 5.60, "sg": "C2/m, No. 12", "mass_density_kg_m3": 7783, "m_tot_mub_per_cell": 0.00}

{"formula": "TbSmDy3", "functional": "PBE-GGA", "state": "optimized geometry", "lattice_angstrom": [[-1.178, -5.858, -7.535], [5.618, -0.165, -0.750], [0.597, -3.460, 5.233]], "species": ["Sm", "Sm", "Tb", "Tb", "Dy", "Dy", "Dy", "Dy", "Dy", "Dy"], "fractional_positions": [[0.200, 0.450, 0.432], [0.800, 0.950, 0.568], [0.400, 0.450, 0.033], [0.600, 0.950, 0.967], [0.999, 0.950, 0.165], [0.800, 0.450, 0.234], [0.401, 0.950, 0.366], [0.200, 0.950, 0.766], [0.001, 0.450, 0.835], [0.599, 0.450, 0.634]], "polymorph_energy_mev_per_atom": 0.0, "dos_at_fermi_per_ev_fu": 8.2, "formation_enthalpy_0k_ev_per_fu": 0.07, "sg": "P2_1/m, No. 11", "mass_density_kg_m3": 8150, "m_tot_mub_per_cell": 0.00}

{"formula": "Tb12SmDy5", "functional": "PBE-GGA", "state": "optimized geometry", "lattice_angstrom": [[-6.594, -11.496, -7.204], [3.384, -9.213, -4.188], [-0.805, -2.297, 4.402]], "species": ["Tb", "Tb", "Tb", "Tb", "Tb", "Tb", "Tb", "Tb", "Tb", "Tb", "Tb", "Tb", "Sm", "Dy", "Dy", "Dy", "Dy", "Dy"], "fractional_positions": [[0.000, 0.334, 0.000], [0.167, 0.333, 0.500], [0.334, 0.000, 0.000], [0.833, 0.000, 0.500], [0.334, 0.666, 0.000], [0.500, 0.333, 0.500], [0.000, 0.666, 0.000], [0.167, 0.000, 0.500], [0.666, 0.000, 0.000], [0.833, 0.667, 0.500], [0.500, 0.667, 0.500], [0.666, 0.334, 0.000], [0.000, 0.000, 0.000], [0.167, 0.665, 0.500], [0.833, 0.335, 0.500], [0.333, 0.333, 0.000], [0.667, 0.667, 0.000], [0.500, 0.000, 0.500]], "dos_at_fermi_per_ev_fu": 24.5, "formation_enthalpy_0k_ev_per_fu": 0.29, "sg": "Cmmm, No. 65", "mass_density_kg_m3": 8322, "m_tot_mub_per_cell": 0.00}